A:
TiCrI3 (PBE-GGA, relaxed); density of states at the Fermi level = 5.73 states/eV/cell; total magnetization = 7.00 μB/cell; SG = Pm-3m
1.0
-1.7302 4.9885 1.8938
-0.0453 -2.0045 5.2388
5.3356 1.6006 0.6585
I Cr Ti
3 1 1
Direct
0.0000 0.5000 0.0000 I
0.0000 0.0000 0.5000 I
0.5000 0.0000 0.0000 I
0.5000 0.5000 0.5000 Cr
0.0000 0.0000 0.0000 Ti

---

B:
TiCrI3 (PBE-GGA, relaxed); density of states at the Fermi level = 19.01 states/eV/cell; total magnetization = 4.58 μB/cell; SG = Pm-3m
1.0
-0.5580 -3.5732 -4.1924
5.4223 0.3867 -1.0514
0.9713 -4.2117 3.4603
I Cr Ti
3 1 1
Direct
0.0000 0.5000 0.0000 I
0.0000 0.0000 0.5000 I
0.5000 0.0000 0.0000 I
0.0000 0.0000 0.0000 Cr
0.5000 0.5000 0.5000 Ti

---

Stability verdict: A, ahead by 367 meV/atom

---

A:
TlCrI2 (PBE-GGA, relaxed); density of states at the Fermi level = 0.00 states/eV/cell; total magnetization = 10.00 μB/cell; SG = I-42d
1.0
8.4111 0.0000 0.0000
0.0000 8.4111 0.0000
4.2056 4.2056 4.1952
I Cr Tl
4 2 2
Direct
0.5585 0.1250 0.2500 I
0.1915 0.6250 0.2500 I
0.3750 0.4415 0.7500 I
0.8750 0.8085 0.7500 I
0.5000 0.5000 0.0000 Cr
0.2500 0.7500 0.5000 Cr
0.0000 0.0000 0.0000 Tl
0.7500 0.2500 0.5000 Tl

---

B:
TlCrI2 (PBE-GGA, relaxed); density of states at the Fermi level = 0.00 states/eV/cell; total magnetization = 5.00 μB/cell; SG = Fm-3m
1.0
-2.4367 -5.0582 0.8753
-4.0929 -0.5445 3.9040
-5.3739 -0.8836 -1.6217
I Cr Tl
2 1 1
Direct
0.2500 0.2500 0.2500 I
0.7500 0.7500 0.7500 I
0.0000 0.0000 0.0000 Cr
0.5000 0.5000 0.5000 Tl

---

C:
TlCrI2 (PBE-GGA, relaxed); density of states at the Fermi level = 4.80 states/eV/cell; total magnetization = 4.14 μB/cell; SG = R-3m
1.0
-1.9778 0.7467 -3.4612
-2.0851 -2.9623 -1.8239
-9.7781 1.8794 3.6166
I Cr Tl
2 1 1
Direct
0.1129 0.1129 0.6612 I
0.8871 0.8871 0.3388 I
0.5000 0.5000 0.5000 Cr
0.0000 0.0000 0.0000 Tl

---

Stability verdict: A, ahead by 39 meV/atom